(1)
The following is a PBE-GGA calculation of a relaxed LiLa3Ru crystal, from Alexandria via LeMat-Bulk.

```
LiLa3Ru
1.0
-0.042 -7.590 1.826
2.077 -5.250 -5.392
6.779 -3.796 0.760
Ru Li La
2 2 6
direct
0.000 0.000 0.000 Ru
0.500 0.500 0.500 Ru
0.250 0.250 0.250 Li
0.750 0.750 0.750 Li
0.801 0.699 0.250 La
0.699 0.250 0.801 La
0.250 0.801 0.699 La
0.750 0.199 0.301 La
0.301 0.750 0.199 La
0.199 0.301 0.750 La
```

Calculated values
**Crystal system**: trigonal
**Symmetry**: R-3c (167)

***

(2)
The following is a PBE-GGA calculation of a relaxed Li3LaRu crystal, from Alexandria via LeMat-Bulk.

```
Li3LaRu
1.0
-3.458 -3.187 0.139
2.305 -2.354 3.358
-2.205 2.536 3.292
Ru Li La
1 3 1
direct
0.500 0.500 0.500 Ru
0.000 0.500 0.000 Li
0.000 0.000 0.500 Li
0.500 0.000 0.000 Li
0.000 0.000 0.000 La
```

Calculated values
**Crystal system**: cubic
**Symmetry**: Pm-3m (221)

***

(3)
The following is a PBE-GGA calculation of a relaxed LiLa3Ru crystal, from Alexandria via LeMat-Bulk.

```
LiLa3Ru
1.0
2.412 -5.139 3.025
0.108 -3.621 -5.315
6.096 1.487 -1.414
Ru Li La
2 2 6
direct
0.296 0.296 0.296 Ru
0.796 0.796 0.796 Ru
0.046 0.046 0.046 Li
0.546 0.546 0.546 Li
0.194 0.900 0.546 La
0.400 0.694 0.046 La
0.046 0.400 0.694 La
0.694 0.046 0.400 La
0.900 0.546 0.194 La
0.546 0.194 0.900 La
```

Calculated values
**Crystal system**: trigonal
**Symmetry**: R3c (161)

***

(4)
The following is a PBE-GGA calculation of a relaxed Li2LaRu crystal, from Alexandria via LeMat-Bulk.

```
Li2LaRu
1.0
-2.838 2.645 -0.501
-2.685 -2.835 0.234
-3.327 1.322 10.548
Ru Li La
2 4 2
direct
0.500 0.500 0.000 Ru
0.250 0.750 0.500 Ru
0.570 0.125 0.250 Li
0.180 0.625 0.250 Li
0.375 0.430 0.750 Li
0.875 0.820 0.750 Li
0.000 0.000 0.000 La
0.750 0.250 0.500 La
```

Calculated values
**Crystal system**: tetragonal
**Symmetry**: I-42d (122)

***

(5)
The following is a PBE-GGA calculation of a relaxed Li2LaRu crystal, from Alexandria via LeMat-Bulk.

```
Li2LaRu
1.0
4.762 -0.019 0.000
0.051 4.762 0.000
-2.407 -2.371 3.356
La Li Ru
1 2 1
direct
0.750 0.250 0.500 La
0.000 0.000 0.000 Li
0.250 0.750 0.500 Li
0.500 0.500 0.000 Ru
```

Calculated values
**Crystal system**: tetragonal
**Symmetry**: I-4m2 (119)

***

(6)
The following is a PBE-GGA calculation of a relaxed LiLa2Ru crystal, from Alexandria via LeMat-Bulk.

```
LiLa2Ru
1.0
-1.728 -5.547 -3.244
1.644 -4.902 -4.188
1.467 -4.127 2.417
La Li Ru
2 1 1
direct
0.937 0.937 0.063 La
0.739 0.739 0.761 La
0.570 0.570 0.431 Li
0.255 0.255 0.245 Ru
```

Calculated values
**Crystal system**: orthorhombic
**Symmetry**: Imm2 (44)

***

(7)
The following is a PBE-GGA calculation of a relaxed Li2LaRu crystal, from Alexandria via LeMat-Bulk.

```
Li2LaRu
1.0
-3.910 -3.351 0.441
4.832 -1.733 0.600
-0.169 0.606 3.105
La Li Ru
1 2 1
direct
0.000 0.500 0.500 La
0.000 0.000 0.000 Li
0.500 0.500 0.000 Li
0.500 0.000 0.500 Ru
```

Calculated values
**Crystal system**: orthorhombic
**Symmetry**: Cmmm (65)

***

(8)
The following is a PBE-GGA calculation of a relaxed LiLa3Ru crystal, from Alexandria via LeMat-Bulk.

```
LiLa3Ru
1.0
-2.794 -6.579 -0.742
5.645 -1.066 -2.868
3.563 -3.703 4.785
Ru La Li
2 6 2
direct
0.387 0.827 0.330 Ru
0.574 0.296 0.032 Ru
0.676 0.150 0.375 La
0.031 0.763 0.542 La
0.731 0.744 0.085 La
0.291 0.981 0.955 La
0.491 0.562 0.697 La
0.247 0.369 0.298 La
0.824 0.194 0.743 Li
0.994 0.381 0.956 Li
```

Calculated values
**Crystal system**: triclinic
**Symmetry**: P1 (1)

***

(9)
The following is a PBE-GGA calculation of a relaxed Li2LaRu crystal, from Alexandria via LeMat-Bulk.

```
Li2LaRu
1.0
3.689 0.000 0.000
0.000 3.241 -0.008
0.000 2.256 7.116
La Li Ru
1 2 1
direct
0.500 0.709 0.684 La
0.000 0.898 0.077 Li
0.500 0.280 0.274 Li
0.000 0.613 0.466 Ru
```

Calculated values
**Crystal system**: monoclinic
**Symmetry**: Pm (6)

***

(10)
The following is a PBE-GGA calculation of a relaxed LiLa3Ru crystal, from Alexandria via LeMat-Bulk.

```
LiLa3Ru
1.0
-6.898 0.114 -3.726
2.432 -4.856 5.656
-2.346 4.027 4.466
Ru Li La
2 2 6
direct
0.166 0.834 0.250 Ru
0.834 0.166 0.750 Ru
0.567 0.433 0.250 Li
0.433 0.567 0.750 Li
0.042 0.438 0.250 La
0.562 0.958 0.250 La
0.438 0.042 0.750 La
0.958 0.562 0.750 La
0.000 0.000 0.000 La
0.000 0.000 0.500 La
```

Calculated values
**Crystal system**: orthorhombic
**Symmetry**: Cmcm (63)

***

(11)
The following is a PBE-GGA calculation of a relaxed LiLa3Ru crystal, from Alexandria via LeMat-Bulk.

```
LiLa3Ru
1.0
-8.479 -4.963 3.732
-9.586 2.768 -3.302
-5.479 -6.453 -6.229
Ru Li La
4 4 12
direct
0.625 0.625 0.625 Ru
0.625 0.125 0.625 Ru
0.125 0.625 0.625 Ru
0.625 0.625 0.125 Ru
0.125 0.125 0.125 Li
0.125 0.625 0.125 Li
0.625 0.125 0.125 Li
0.125 0.125 0.625 Li
0.693 0.307 0.307 La
0.943 0.557 0.557 La
0.557 0.557 0.943 La
0.557 0.943 0.943 La
0.943 0.557 0.943 La
0.693 0.307 0.693 La
0.557 0.943 0.557 La
0.943 0.943 0.557 La
0.307 0.693 0.307 La
0.307 0.693 0.693 La
0.307 0.307 0.693 La
0.693 0.693 0.307 La
```

Calculated values
**Crystal system**: cubic
**Symmetry**: Fd-3m (227)

***

(12)
The following is a PBE-GGA calculation of a relaxed LiLa3Ru crystal, from Alexandria via LeMat-Bulk.

```
LiLa3Ru
1.0
-0.072 4.694 -1.046
-0.536 -3.253 -3.502
-17.391 0.272 2.412
Ru Li La
2 2 6
direct
0.333 0.667 0.750 Ru
0.667 0.333 0.250 Ru
0.000 0.000 0.000 Li
0.000 0.000 0.500 Li
0.000 0.000 0.250 La
0.000 0.000 0.750 La
0.333 0.667 0.904 La
0.333 0.667 0.596 La
0.667 0.333 0.404 La
0.667 0.333 0.096 La
```

Calculated values
**Crystal system**: hexagonal
**Symmetry**: P6_3/mmc (194)

***

Per-record distance to the lowest polymorph of the same formula, eV per formula unit: 0.28, 6.19, 0.51, 0.57, 0.50, 0.42, 1.13, 0.28, 0.18, 1.24, 1.28, 1.93
Per-record density, kg/m3: 5110, 4160, 6591, 5107, 5540, 6094, 5679, 5780, 4950, 5623, 4246, 4954
Per-record formation energy from the elements, kJ/mol of formula units: -53, 814, -31, 52, 45, -8, 106, -53, 15, 39, 43, 106